A plane-wave DFT calculation with PBE-GGA was carried out for an optimized crystal structure of NdEr6Sc3.

Cell lengths 6.1753, 10.6281, 10.6281 Å; angles 122.50, 90.00, 90.00 degrees
Closest atoms and distances in Å follow each position.
Atoms (fractional coordinates):
Nd: 0.2099 0.2109 0.7891  3 Sc 3.01-3.28, 4 Er 3.21-3.30
Nd: 0.7099 0.7891 0.2109  3 Sc 3.01-3.28, 4 Er 3.21-3.30
Er: 0.0189 0.7062 0.6333  4 Sc 3.17-3.38, 6 Er 3.37-3.52
Er: 0.5189 0.6333 0.7062  4 Sc 3.17-3.38, 6 Er 3.37-3.52
Er: 0.3577 0.5652 0.9735  3 Sc 3.17-3.52, 2 Nd 3.21-3.30, 3 Er 3.33-3.44
Er: 0.8577 0.9735 0.5652  3 Sc 3.17-3.52, 2 Nd 3.21-3.30, 3 Er 3.33-3.44
Er: 0.3608 0.9544 0.0456  6 Er 3.52-3.78, 4 Sc 3.55-3.58, 1 Nd 3.76
Er: 0.6711 0.3139 0.6861  1 Sc 3.14, 6 Er 3.33-3.42, 1 Nd 3.43
Er: 0.1711 0.6861 0.3139  1 Sc 3.14, 6 Er 3.33-3.42, 1 Nd 3.43
Er: 0.8608 0.0456 0.9544  6 Er 3.52-3.78, 4 Sc 3.55-3.58, 1 Nd 3.76
Er: 0.3577 0.0265 0.4348  3 Sc 3.17-3.52, 2 Nd 3.21-3.30, 3 Er 3.33-3.44
Er: 0.8577 0.4348 0.0265  3 Sc 3.17-3.52, 2 Nd 3.21-3.30, 3 Er 3.33-3.44
Er: 0.0189 0.3667 0.2938  4 Sc 3.17-3.38, 6 Er 3.37-3.52
Er: 0.5189 0.2938 0.3667  4 Sc 3.17-3.38, 6 Er 3.37-3.52
Sc: 0.4291 0.9196 0.6933  1 Nd 3.01, 3 Er 3.17-3.23
Sc: 0.9291 0.6933 0.9196  1 Nd 3.01, 3 Er 3.17-3.23
Sc: 0.1321 0.3852 0.6148  7 Er 3.14-3.51, 1 Nd 3.28, 2 Sc 3.37
Sc: 0.6321 0.6148 0.3852  7 Er 3.14-3.51, 1 Nd 3.28, 2 Sc 3.37
Sc: 0.9291 0.0804 0.3067  1 Nd 3.01, 3 Er 3.17-3.23
Sc: 0.4291 0.3067 0.0804  1 Nd 3.01, 3 Er 3.17-3.23

Energy relative to the lowest polymorph listed for this composition   0.132 eV/atom
Energy relative to the elements   0.16 eV/atom
Calculated density   7.24 g/cm3
VASP energy   -99.03 eV/cell


A plane-wave DFT calculation with PBE-GGA was carried out for an optimized crystal structure of BaCd3Ga.

Cell lengths 5.3546, 5.3546, 5.3546 Å; angles 90.00, 90.00, 90.00 degrees
Closest atoms and distances in Å follow each position.
Atoms (fractional coordinates):
Ba: 0.5000 0.5000 0.5000  12 Cd 3.79
Ga: 0.0000 0.0000 0.0000  6 Cd 2.68
Cd: 0.0000 0.5000 0.0000  2 Ga 2.68
Cd: 0.0000 0.0000 0.5000  2 Ga 2.68
Cd: 0.5000 0.0000 0.0000  2 Ga 2.68

Energy relative to the lowest polymorph listed for this composition   0.246 eV/atom
Energy relative to the elements   -0.07 eV/atom
Calculated density   5.89 g/cm3
VASP energy   -8.05 eV/cell


A plane-wave DFT calculation with PBE-GGA was carried out for an optimized crystal structure of Mn4GaCo5.

Cell lengths 2.8650, 2.8650, 14.2068 Å; angles 90.00, 90.00, 90.00 degrees
Closest atoms and distances in Å follow each position.
Atoms (fractional coordinates):
Mn: 0.0000 0.0000 0.2002  8 Co 2.45-2.47
Mn: 0.0000 0.0000 0.4001  8 Co 2.47
Mn: 0.0000 0.0000 0.5999  8 Co 2.47
Mn: 0.0000 0.0000 0.7998  8 Co 2.45-2.47
Ga: 0.0000 0.0000 0.0000  8 Co 2.50
Co: 0.5000 0.5000 0.1036  4 Mn 2.45, 4 Ga 2.50
Co: 0.5000 0.5000 0.3002  8 Mn 2.47
Co: 0.5000 0.5000 0.5000  8 Mn 2.47
Co: 0.5000 0.5000 0.6998  8 Mn 2.47
Co: 0.5000 0.5000 0.8964  4 Mn 2.45, 4 Ga 2.50

Energy relative to the elements   -0.07 eV/atom
Calculated density   8.32 g/cm3
VASP energy   -75.89 eV/cell


A plane-wave DFT calculation with PBE-GGA was carried out for an optimized crystal structure of Nd2CdHg2.

Cell lengths 4.9205, 6.2832, 10.1159 Å; angles 93.20, 75.92, 66.95 degrees
Closest atoms and distances in Å follow each position.
Atoms (fractional coordinates):
Nd: 0.6840 0.2864 0.3457  7 Hg 3.26-3.64, 4 Cd 3.41-3.50, 1 Nd 3.57
Nd: 0.9109 0.2649 0.9132  4 Hg 3.20-3.29, 2 Cd 3.40
Nd: 0.3160 0.7136 0.6543  7 Hg 3.26-3.64, 4 Cd 3.41-3.50, 1 Nd 3.57
Nd: 0.0891 0.7351 0.0868  4 Hg 3.20-3.29, 2 Cd 3.40
Cd: 0.5996 0.1268 0.6739  3 Hg 2.88-2.94
Cd: 0.4004 0.8732 0.3261  3 Hg 2.88-2.94
Hg: 0.0511 0.3125 0.5853  2 Cd 2.88, 1 Hg 2.95
Hg: 0.6615 0.8028 0.8741  1 Cd 2.94, 1 Hg 3.07, 3 Nd 3.20-3.26
Hg: 0.9489 0.6875 0.4147  2 Cd 2.88, 1 Hg 2.95
Hg: 0.3385 0.1972 0.1259  1 Cd 2.94, 1 Hg 3.07, 3 Nd 3.20-3.26

Energy relative to the lowest polymorph listed for this composition   0.007 eV/atom
Energy relative to the elements   -0.37 eV/atom
Calculated density   9.68 g/cm3
VASP energy   -25.82 eV/cell


A plane-wave DFT calculation with PBE-GGA was carried out for an optimized crystal structure of La3PtCl3.

Cell lengths 10.4872, 10.4872, 10.4872 Å; angles 109.47, 109.47, 109.47 degrees
Closest atoms and distances in Å follow each position.
Atoms (fractional coordinates):
La: 0.9802 0.4901 0.2401  2 Pt 2.91, 4 Cl 3.02-3.15
La: 0.5099 0.0198 0.2599  2 Pt 2.91, 4 Cl 3.02-3.15
La: 0.2500 0.0099 0.4901  2 Pt 2.91, 4 Cl 3.02-3.15
La: 0.9901 0.7500 0.0099  2 Pt 2.91, 4 Cl 3.02-3.15
La: 0.9901 0.2401 0.4802  2 Pt 2.91, 4 Cl 3.02-3.15
La: 0.7599 0.0099 0.0198  2 Pt 2.91, 4 Cl 3.02-3.15
La: 0.7401 0.4802 0.4901  2 Pt 2.91, 4 Cl 3.02-3.15
La: 0.7599 0.7500 0.2401  2 Pt 2.91, 4 Cl 3.02-3.15
La: 0.5198 0.2599 0.0099  2 Pt 2.91, 4 Cl 3.02-3.15
La: 0.2500 0.2401 0.2599  2 Pt 2.91, 4 Cl 3.02-3.15
La: 0.7401 0.2599 0.7500  2 Pt 2.91, 4 Cl 3.02-3.15
La: 0.5099 0.4901 0.7500  2 Pt 2.91, 4 Cl 3.02-3.15
Pt: 0.7500 0.5000 0.0000  6 La 2.91
Pt: 0.5000 0.2500 0.5000  6 La 2.91
Pt: 0.7500 0.2500 0.2500  6 La 2.91
Pt: 0.0000 0.0000 0.2500  6 La 2.91
Cl: 0.2511 0.0011 0.0023  4 La 3.02-3.15
Cl: 0.7500 0.7489 0.7511  4 La 3.02-3.15
Cl: 0.5023 0.7511 0.0011  4 La 3.02-3.15
Cl: 0.9989 0.2500 0.0011  4 La 3.02-3.15
Cl: 0.2489 0.7511 0.2500  4 La 3.02-3.15
Cl: 0.5011 0.4989 0.2500  4 La 3.02-3.15
Cl: 0.2511 0.2500 0.7489  4 La 3.02-3.15
Cl: 0.2489 0.4977 0.4989  4 La 3.02-3.15
Cl: 0.7500 0.0011 0.4989  4 La 3.02-3.15
Cl: 0.9977 0.4989 0.7489  4 La 3.02-3.15
Cl: 0.9989 0.7489 0.4977  4 La 3.02-3.15
Cl: 0.5011 0.0023 0.7511  4 La 3.02-3.15

Calculated density   5.37 g/cm3
Formation energy without anion corrections   -12.34 eV/f.u.
VASP energy   -154.83 eV/cell


A plane-wave DFT calculation with PBE-GGA was carried out for an optimized crystal structure of KAgB2Cl8.

Cell lengths 6.1312, 6.1312, 9.8694 Å; angles 71.90, 71.90, 60.00 degrees
Closest atoms and distances in Å follow each position.
Atoms (fractional coordinates):
K: 0.5000 0.5000 0.5000  12 Cl 3.57-3.59
Ag: 0.0000 0.0000 0.0000  6 Cl 2.84
B: 0.2499 0.2499 0.2504  4 Cl 1.86-1.87
B: 0.7501 0.7501 0.7496  4 Cl 1.86-1.87
Cl: 0.1826 0.1826 0.4522  1 B 1.86
Cl: 0.5514 0.2884 0.1852  1 B 1.87
Cl: 0.8174 0.8174 0.5478  1 B 1.86
Cl: 0.9750 0.5514 0.1852  1 B 1.87
Cl: 0.0250 0.4486 0.8148  1 B 1.87
Cl: 0.2884 0.9750 0.1852  1 B 1.87
Cl: 0.7116 0.0250 0.8148  1 B 1.87
Cl: 0.4486 0.7116 0.8148  1 B 1.87

Calculated density   2.50 g/cm3
Formation energy without anion corrections   -12.39 eV/f.u.
VASP energy   -44.46 eV/cell


A plane-wave DFT calculation with PBE-GGA was carried out for an optimized crystal structure of Li2YThTe4.

Cell lengths 4.3170, 7.5114, 7.5903 Å; angles 109.02, 90.00, 90.00 degrees
Closest atoms and distances in Å follow each position.
Atoms (fractional coordinates):
Li: 0.5000 0.0000 0.5000  6 Te 3.04-3.05
Li: 0.0000 0.5000 0.5000  6 Te 2.99-3.00
Y: 0.5000 0.5000 0.0000  6 Te 3.11
Th: 0.0000 0.0000 0.0000  6 Te 3.15-3.17
Te: 0.5000 0.2611 0.2668  3 Li 2.99-3.04, 1 Y 3.11, 2 Th 3.17
Te: 0.5000 0.7389 0.7332  3 Li 2.99-3.04, 1 Y 3.11, 2 Th 3.17
Te: 0.0000 0.2511 0.7393  3 Li 3.00-3.05, 2 Y 3.11, 1 Th 3.15
Te: 0.0000 0.7489 0.2607  3 Li 3.00-3.05, 2 Y 3.11, 1 Th 3.15

Calculated density   6.03 g/cm3
Formation energy without anion corrections   -9.51 eV/f.u.
VASP energy   -39.79 eV/cell


A plane-wave DFT calculation with PBE-GGA was carried out for an optimized crystal structure of ZnSnSb2.

Cell lengths 4.2692, 4.2692, 7.2132 Å; angles 72.79, 72.79, 60.00 degrees
Closest atoms and distances in Å follow each position.
Atoms (fractional coordinates):
Zn: 0.6701 0.6701 0.9896  6 Sb 2.80-2.92
Sn: 0.5011 0.5011 0.4968  6 Sb 3.10-3.18, 1 Zn 3.44
Sb: 0.0687 0.0687 0.7938  3 Zn 2.80
Sb: 0.2601 0.2601 0.2198  3 Zn 2.92, 3 Sn 3.10

Energy relative to the lowest polymorph listed for this composition   0.159 eV/atom
Calculated density   6.64 g/cm3
Formation energy without anion corrections   0.38 eV/f.u.
VASP energy   -13.14 eV/cell


> What is the formula in the seventh record?

Li2YThTe4


Copy entry 5 word for word.
A plane-wave DFT calculation with PBE-GGA was carried out for an optimized crystal structure of La3PtCl3.

Cell lengths 10.4872, 10.4872, 10.4872 Å; angles 109.47, 109.47, 109.47 degrees
Closest atoms and distances in Å follow each position.
Atoms (fractional coordinates):
La: 0.9802 0.4901 0.2401  2 Pt 2.91, 4 Cl 3.02-3.15
La: 0.5099 0.0198 0.2599  2 Pt 2.91, 4 Cl 3.02-3.15
La: 0.2500 0.0099 0.4901  2 Pt 2.91, 4 Cl 3.02-3.15
La: 0.9901 0.7500 0.0099  2 Pt 2.91, 4 Cl 3.02-3.15
La: 0.9901 0.2401 0.4802  2 Pt 2.91, 4 Cl 3.02-3.15
La: 0.7599 0.0099 0.0198  2 Pt 2.91, 4 Cl 3.02-3.15
La: 0.7401 0.4802 0.4901  2 Pt 2.91, 4 Cl 3.02-3.15
La: 0.7599 0.7500 0.2401  2 Pt 2.91, 4 Cl 3.02-3.15
La: 0.5198 0.2599 0.0099  2 Pt 2.91, 4 Cl 3.02-3.15
La: 0.2500 0.2401 0.2599  2 Pt 2.91, 4 Cl 3.02-3.15
La: 0.7401 0.2599 0.7500  2 Pt 2.91, 4 Cl 3.02-3.15
La: 0.5099 0.4901 0.7500  2 Pt 2.91, 4 Cl 3.02-3.15
Pt: 0.7500 0.5000 0.0000  6 La 2.91
Pt: 0.5000 0.2500 0.5000  6 La 2.91
Pt: 0.7500 0.2500 0.2500  6 La 2.91
Pt: 0.0000 0.0000 0.2500  6 La 2.91
Cl: 0.2511 0.0011 0.0023  4 La 3.02-3.15
Cl: 0.7500 0.7489 0.7511  4 La 3.02-3.15
Cl: 0.5023 0.7511 0.0011  4 La 3.02-3.15
Cl: 0.9989 0.2500 0.0011  4 La 3.02-3.15
Cl: 0.2489 0.7511 0.2500  4 La 3.02-3.15
Cl: 0.5011 0.4989 0.2500  4 La 3.02-3.15
Cl: 0.2511 0.2500 0.7489  4 La 3.02-3.15
Cl: 0.2489 0.4977 0.4989  4 La 3.02-3.15
Cl: 0.7500 0.0011 0.4989  4 La 3.02-3.15
Cl: 0.9977 0.4989 0.7489  4 La 3.02-3.15
Cl: 0.9989 0.7489 0.4977  4 La 3.02-3.15
Cl: 0.5011 0.0023 0.7511  4 La 3.02-3.15

Calculated density   5.37 g/cm3
Formation energy without anion corrections   -12.34 eV/f.u.
VASP energy   -154.83 eV/cell


Repeat the fourth record exactly.
A plane-wave DFT calculation with PBE-GGA was carried out for an optimized crystal structure of Nd2CdHg2.

Cell lengths 4.9205, 6.2832, 10.1159 Å; angles 93.20, 75.92, 66.95 degrees
Closest atoms and distances in Å follow each position.
Atoms (fractional coordinates):
Nd: 0.6840 0.2864 0.3457  7 Hg 3.26-3.64, 4 Cd 3.41-3.50, 1 Nd 3.57
Nd: 0.9109 0.2649 0.9132  4 Hg 3.20-3.29, 2 Cd 3.40
Nd: 0.3160 0.7136 0.6543  7 Hg 3.26-3.64, 4 Cd 3.41-3.50, 1 Nd 3.57
Nd: 0.0891 0.7351 0.0868  4 Hg 3.20-3.29, 2 Cd 3.40
Cd: 0.5996 0.1268 0.6739  3 Hg 2.88-2.94
Cd: 0.4004 0.8732 0.3261  3 Hg 2.88-2.94
Hg: 0.0511 0.3125 0.5853  2 Cd 2.88, 1 Hg 2.95
Hg: 0.6615 0.8028 0.8741  1 Cd 2.94, 1 Hg 3.07, 3 Nd 3.20-3.26
Hg: 0.9489 0.6875 0.4147  2 Cd 2.88, 1 Hg 2.95
Hg: 0.3385 0.1972 0.1259  1 Cd 2.94, 1 Hg 3.07, 3 Nd 3.20-3.26

Energy relative to the lowest polymorph listed for this composition   0.007 eV/atom
Energy relative to the elements   -0.37 eV/atom
Calculated density   9.68 g/cm3
VASP energy   -25.82 eV/cell


> The highest VASP energy belongs to which entry?

BaCd3Ga